1.
The following is a PBE calculation of a geometry-optimized MnVC2 structure, from Alexandria.

Geometry as POSCAR:
```
MnVC2
1.0
-1.542 -3.140 -0.815
-2.402 -1.455 2.238
-3.471 -0.112 -0.916
C V Mn
2 1 1
Cartesian
-5.561 -3.530 0.381
-1.854 -1.177 0.127
0.000 0.000 0.000
-3.707 -2.353 0.254
```

Results
The calculated volume is 8.19 A^3/atom. For the total energy, the calculation gives -8.6124 eV/atom. Its space group is No. 225.


2.
The following is a PBE calculation of a geometry-optimized Mn21V2C6 structure, from Alexandria.

Geometry as POSCAR:
```
Mn21V2C6
1.0
6.378 0.000 3.682
2.126 6.013 3.682
0.000 0.000 7.365
C Mn V
6 21 2
Cartesian
3.294 4.361 5.705
2.336 1.652 7.365
5.210 1.652 9.024
5.210 1.652 5.705
3.294 4.361 9.024
6.168 4.361 7.365
3.250 2.298 9.100
6.256 2.298 7.365
2.150 0.000 6.123
0.717 2.027 1.241
5.254 3.715 5.629
4.252 0.881 7.365
0.000 0.000 2.483
4.944 2.027 3.682
0.000 0.000 0.000
0.000 0.000 4.882
4.228 0.000 2.441
5.254 3.715 9.100
4.252 5.133 7.365
2.150 0.000 1.241
0.717 2.027 6.123
4.228 0.000 4.924
1.409 3.986 2.441
3.559 3.986 3.682
2.248 3.715 7.365
1.409 3.986 4.924
3.250 2.298 5.629
2.126 1.503 3.682
6.378 4.510 11.047
```

Results
The calculated volume is 9.74 A^3/atom. For the total energy, the calculation gives -9.3027 eV/atom. Its space group is No. 225.


3.
The following is a PBE calculation of a geometry-optimized Mn2VC structure, from Alexandria.

Geometry as POSCAR:
```
Mn2VC
1.0
2.804 0.000 0.000
1.402 2.429 0.000
1.402 0.810 6.768
C Mn V
1 2 1
Cartesian
2.804 1.619 3.384
4.207 2.429 2.299
1.402 0.810 4.469
0.000 0.000 0.000
```

Results
The calculated volume is 11.53 A^3/atom. For the total energy, the calculation gives -8.8986 eV/atom. Its space group is No. 166.


4.
The following is a PBE calculation of a geometry-optimized MnV2C structure, from Alexandria.

Geometry as POSCAR:
```
MnV2C
1.0
-4.980 -4.250 2.137
4.594 -3.494 3.758
-0.549 -2.678 4.492
V Mn C
4 2 2
Cartesian
1.507 -3.900 3.998
0.000 -5.336 6.035
-1.307 -8.361 8.071
-2.072 -3.247 2.669
-2.861 -5.400 4.788
0.000 0.000 0.000
1.926 -5.022 5.599
-0.193 -3.872 2.947
```

Results
The calculated volume is 11.76 A^3/atom. For the total energy, the calculation gives -9.1022 eV/atom. Its space group is No. 122.


5.
The following is a PBE calculation of a geometry-optimized MnVC structure, from Alexandria.

Geometry as POSCAR:
```
MnVC
1.0
2.868 0.000 0.000
0.000 3.474 0.000
0.000 -1.737 3.009
Mn V C
1 1 1
Cartesian
2.473 1.737 1.003
0.755 0.000 2.006
2.507 0.000 0.000
```

Results
The calculated volume is 9.99 A^3/atom. For the total energy, the calculation gives -8.8834 eV/atom. Its space group is No. 156.


6.
The following is a PBE calculation of a geometry-optimized MnV2C structure, from Alexandria.

Geometry as POSCAR:
```
MnV2C
1.0
3.524 -0.330 1.658
1.201 2.674 2.586
0.299 -0.936 3.783
C V Mn
1 2 1
Cartesian
0.000 0.000 0.000
3.768 1.056 6.020
1.256 0.352 2.007
2.512 0.704 4.013
```

Results
The calculated volume is 10.55 A^3/atom. For the total energy, the calculation gives -8.6000 eV/atom. Its space group is No. 225.


7.
The following is a PBE calculation of a geometry-optimized MnVC2 structure, from Alexandria.

Geometry as POSCAR:
```
MnVC2
1.0
2.890 0.000 0.000
1.445 2.503 0.000
1.445 0.834 4.891
V C Mn
1 2 1
Cartesian
2.890 1.669 2.517
1.445 0.834 3.733
1.445 0.834 1.181
4.335 2.503 4.798
```

Results
The calculated volume is 8.85 A^3/atom. For the total energy, the calculation gives -9.1829 eV/atom. Its space group is No. 160.


8.
The following is a PBE calculation of a geometry-optimized Mn2VC structure, from Alexandria.

Geometry as POSCAR:
```
Mn2VC
1.0
-4.749 1.697 -4.009
-3.703 -4.694 2.399
-4.975 -0.166 0.646
V C Mn
2 2 4
Cartesian
0.000 0.000 0.000
-6.975 0.016 -2.084
-6.452 -3.179 1.120
-4.226 -1.499 -0.805
-7.324 -1.786 0.156
-4.695 -2.569 0.701
-4.131 0.238 -1.585
-10.703 -2.210 -1.199
```

Results
The calculated volume is 10.93 A^3/atom. For the total energy, the calculation gives -9.0959 eV/atom. Its space group is No. 122.


9.
The following is a PBE calculation of a geometry-optimized MnVC structure, from Alexandria.

Geometry as POSCAR:
```
MnVC
1.0
2.838 0.000 0.000
0.000 4.943 -0.162
-1.419 -2.393 4.387
C Mn V
2 2 2
Cartesian
1.419 2.508 2.047
0.000 0.041 2.178
0.000 -1.588 3.224
1.419 4.137 1.001
0.000 1.612 0.936
1.419 0.938 3.289
```

Results
The calculated volume is 10.07 A^3/atom. For the total energy, the calculation gives -9.3877 eV/atom. Its space group is No. 12.


10.
The following is a PBE calculation of a geometry-optimized MnVC2 structure, from Alexandria.

Geometry as POSCAR:
```
MnVC2
1.0
-1.835 -2.538 3.145
1.344 -3.641 -2.154
3.599 -3.027 2.789
C V Mn
4 2 2
Cartesian
1.533 -3.318 -0.294
2.499 -4.543 2.490
2.287 -7.721 2.933
-0.101 -2.829 2.432
-0.245 -3.089 0.496
2.349 -4.878 0.565
0.759 -4.327 3.215
0.000 0.000 0.000
```

Results
The calculated volume is 11.02 A^3/atom. For the total energy, the calculation gives -8.8550 eV/atom. Its space group is No. 122.


11.
The following is a PBE calculation of a geometry-optimized Mn2VZnC structure, from Alexandria.

Geometry as POSCAR:
```
Mn2VZnC
1.0
-2.778 1.859 -1.861
-2.192 -0.138 3.133
1.522 3.495 1.218
C Mn Zn V
1 2 1 1
Cartesian
0.000 0.000 0.000
-1.389 0.929 -0.931
-1.096 -0.069 1.567
-1.724 2.608 1.245
0.761 1.747 0.609
```

Results
The calculated volume is 11.72 A^3/atom. For the total energy, the calculation gives -7.6259 eV/atom. Its space group is No. 123.


12.
The following is a PBE calculation of a geometry-optimized MnV2ZnC structure, from Alexandria.

Geometry as POSCAR:
```
MnV2ZnC
1.0
-1.958 2.180 2.728
-0.343 -3.232 2.337
3.264 0.854 1.660
V Zn Mn C
2 1 1 1
Cartesian
-0.979 1.090 1.364
-0.172 -1.616 1.168
0.481 -0.099 3.362
1.632 0.427 0.830
0.000 0.000 0.000
```

Results
The calculated volume is 12.05 A^3/atom. For the total energy, the calculation gives -7.6836 eV/atom. Its space group is No. 123.